# PBE RbFeI2, optimized geometry
data_RbFeI2
_cell_length_a 8.388
_cell_length_b 8.388
_cell_length_c 7.321
_cell_angle_alpha 55.05
_cell_angle_beta 55.05
_cell_angle_gamma 90.00
_space_group_name_H-M_alt 'P 1'
_space_group_IT_number 1
loop_
_space_group_symop_operation_xyz
'x,y,z'
loop_
_atom_site_label
_atom_site_type_symbol
_atom_site_fract_x
_atom_site_fract_y
_atom_site_fract_z
I1 I 0.526 0.125 0.250
I2 I 0.224 0.625 0.250
I3 I 0.375 0.474 0.750
I4 I 0.875 0.776 0.750
Fe1 Fe 0.500 0.500 0.000
Fe2 Fe 0.250 0.750 0.500
Rb1 Rb 0.000 0.000 0.000
Rb2 Rb 0.750 0.250 0.500
# ΔE to the lowest computed polymorph = 0 meV per atom
# E_tot = -0.2619 Ry/atom
# ΔE_f (raw) = -430 meV/atom

# PBE CeNd2Eu, optimized geometry
data_CeNd2Eu
_cell_length_a 5.219
_cell_length_b 5.172
_cell_length_c 5.172
_cell_angle_alpha 90.00
_cell_angle_beta 90.00
_cell_angle_gamma 90.00
_space_group_name_H-M_alt 'P 1'
_space_group_IT_number 1
loop_
_space_group_symop_operation_xyz
'x,y,z'
loop_
_atom_site_label
_atom_site_type_symbol
_atom_site_fract_x
_atom_site_fract_y
_atom_site_fract_z
Eu1 Eu 0.500 0.500 0.500
Nd1 Nd 0.000 0.000 0.500
Nd2 Nd 0.000 0.500 0.000
Ce1 Ce 0.500 0.000 0.000
# E_tot = -0.4625 Ry/atom